(1)
! NaScHg2F6 (PBE, relaxed); values from VASP
&SYSTEM
  ibrav = 0, nat = 10, ntyp = 4
/
ATOMIC_SPECIES
F 19.00 F.upf
Hg 200.59 Hg.upf
Na 22.99 Na.upf
Sc 44.96 Sc.upf
CELL_PARAMETERS angstrom
0.0000 4.0898 4.0898
4.0898 0.0000 4.0898
4.0898 4.0898 0.0000
ATOMIC_POSITIONS crystal
F 0.7568 0.2432 0.2432
F 0.2432 0.7568 0.2432
F 0.7568 0.7568 0.2432
F 0.7568 0.2432 0.7568
F 0.2432 0.7568 0.7568
F 0.2432 0.2432 0.7568
Hg 0.2500 0.2500 0.2500
Hg 0.7500 0.7500 0.7500
Na 0.5000 0.5000 0.5000
Sc 0.0000 0.0000 0.0000
! energy: -43.060 eV/cell

=====

(2)
! Nb2Hg3SO4F10 (PBE, relaxed); values from VASP
&SYSTEM
  ibrav = 0, nat = 40, ntyp = 5
/
ATOMIC_SPECIES
F 19.00 F.upf
Hg 200.59 Hg.upf
Nb 92.91 Nb.upf
O 16.00 O.upf
S 32.06 S.upf
CELL_PARAMETERS angstrom
0.0000 -7.7406 -4.3427
0.0000 7.7406 -4.3427
8.8965 0.0000 4.3427
ATOMIC_POSITIONS crystal
F 0.7603 0.3483 0.1019
F 0.6034 0.9722 0.1154
F 0.1566 0.5404 0.1186
F 0.2666 0.9003 0.1355
F 0.9170 0.7666 0.1721
F 0.4949 0.8445 0.3279
F 0.8812 0.0148 0.3645
F 0.7879 0.6718 0.3814
F 0.2380 0.1068 0.3846
F 0.4084 0.4964 0.3981
F 0.0983 0.0103 0.6019
F 0.7222 0.8534 0.6154
F 0.2904 0.4066 0.6186
F 0.6503 0.5166 0.6355
F 0.5166 0.1670 0.6721
F 0.5945 0.7449 0.8279
F 0.7648 0.1312 0.8645
F 0.4218 0.0379 0.8814
F 0.8568 0.4880 0.8846
F 0.2464 0.6584 0.8981
Hg 0.9797 0.9797 0.0000
Hg 0.0121 0.2437 0.1985
Hg 0.5635 0.2951 0.3015
Hg 0.7297 0.2297 0.5000
Hg 0.9937 0.2621 0.6985
Hg 0.0451 0.8135 0.8015
Nb 0.3737 0.7626 0.1144
Nb 0.0093 0.8982 0.3856
Nb 0.5126 0.6237 0.6144
Nb 0.6482 0.2593 0.8856
O 0.4840 0.6076 0.0797
O 0.3994 0.3113 0.1078
O 0.0416 0.4535 0.3922
O 0.1543 0.7778 0.4203
O 0.3576 0.7340 0.5797
O 0.0613 0.6494 0.6078
O 0.2035 0.2916 0.8922
O 0.5278 0.4043 0.9203
S 0.4006 0.4006 0.0000
S 0.1506 0.6506 0.5000
! energy: -212.345 eV/cell

=====

(3)
! Hg2OF2 (PBE, relaxed); values from VASP
&SYSTEM
  ibrav = 0, nat = 20, ntyp = 3
/
ATOMIC_SPECIES
F 19.00 F.upf
Hg 200.59 Hg.upf
O 16.00 O.upf
CELL_PARAMETERS angstrom
-1.6272 0.4369 7.8903
1.8050 -7.8223 0.8054
5.5507 1.3907 1.0677
ATOMIC_POSITIONS crystal
F 0.5627 0.0627 0.2500
F 0.9373 0.0627 0.2500
F 0.5627 0.4373 0.2500
F 0.9373 0.4373 0.2500
F 0.0627 0.5627 0.7500
F 0.4373 0.5627 0.7500
F 0.0627 0.9373 0.7500
F 0.4373 0.9373 0.7500
Hg 0.2500 0.0426 0.0003
Hg 0.2500 0.4574 0.0003
Hg 0.5426 0.7500 0.4997
Hg 0.9574 0.7500 0.4997
Hg 0.0426 0.2500 0.5003
Hg 0.4574 0.2500 0.5003
Hg 0.7500 0.5426 0.9997
Hg 0.7500 0.9574 0.9997
O 0.2500 0.2500 0.2261
O 0.7500 0.7500 0.2739
O 0.2500 0.2500 0.7261
O 0.7500 0.7500 0.7739
! energy above the lowest structure with this stoichiometry: 93 meV/atom

=====

(4)
! Hg3O2F2 (PBE, relaxed); values from VASP
&SYSTEM
  ibrav = 0, nat = 14, ntyp = 3
/
ATOMIC_SPECIES
F 19.00 F.upf
Hg 200.59 Hg.upf
O 16.00 O.upf
CELL_PARAMETERS angstrom
-5.5504 0.9710 -1.3494
-0.9034 -6.7315 -1.1280
1.4252 -1.2245 6.1658
ATOMIC_POSITIONS crystal
F 0.3732 0.3440 0.0858
F 0.6268 0.8440 0.4142
F 0.3732 0.1560 0.5858
F 0.6268 0.6560 0.9142
Hg 0.5000 0.0000 0.0000
Hg 0.8625 0.4220 0.1945
Hg 0.1375 0.9220 0.3055
Hg 0.5000 0.5000 0.5000
Hg 0.8625 0.0780 0.6945
Hg 0.1375 0.5780 0.8055
O 0.8502 0.1332 0.0656
O 0.1498 0.6332 0.4344
O 0.8502 0.3668 0.5656
O 0.1498 0.8668 0.9344
! energy: -39.948 eV/cell